No. 1
Below is a geometry-optimized Tb2Ce2Co3 structure, with properties calculated at the PBE level.

E_tot (eV per atom): -6.268
Spin magnetization (μB per formula unit): 0.0
DOS at the Fermi energy (states/eV/cell): 6.10
Density (Mg/m³): 8.860

abc: 3.976 5.806 6.898
angles: 84.96 79.13 68.26
Element x y z (fractional)
Tb 0.314 0.787 0.622
Tb 0.686 0.213 0.378
Ce 0.353 0.306 0.906
Ce 0.647 0.694 0.094
Co 0.000 0.000 0.000
Co 0.995 0.662 0.334
Co 0.005 0.338 0.666

No. 2
Below is a geometry-optimized Li2ScGa3 structure, with properties calculated at the PBE level.

E_tot (eV per atom): -3.567
Spin magnetization (μB per formula unit): 0.0
DOS at the Fermi energy (states/eV/cell): 6.48
Density (Mg/m³): 4.365
Relative energy among the computed polymorphs (eV/atom): 0.0207

abc: 4.474 4.474 11.761
angles: 90.00 90.00 120.00
Element x y z (fractional)
Li 0.667 0.333 0.406
Li 0.333 0.667 0.594
Li 0.333 0.667 0.906
Li 0.667 0.333 0.094
Sc 0.000 0.000 0.250
Sc 0.000 0.000 0.750
Ga 0.000 0.000 0.500
Ga 0.000 0.000 0.000
Ga 0.667 0.333 0.639
Ga 0.333 0.667 0.139
Ga 0.667 0.333 0.861
Ga 0.333 0.667 0.361

No. 3
Below is a geometry-optimized Sc2ZnPd structure, with properties calculated at the PBE level.

E_tot (eV per atom): -5.426
Spin magnetization (μB per formula unit): 0.0
DOS at the Fermi energy (states/eV/cell): 2.82
Density (Mg/m³): 5.908

abc: 3.331 3.331 6.631
angles: 90.00 90.00 90.00
Element x y z (fractional)
Sc 0.000 0.000 0.751
Sc 0.000 0.000 0.249
Zn 0.500 0.500 0.500
Pd 0.500 0.500 0.000

No. 4
Below is a geometry-optimized NaAlRe3 structure, with properties calculated at the PBE level.

E_tot (eV per atom): -5.538
Spin magnetization (μB per formula unit): 3.6
DOS at the Fermi energy (states/eV/cell): 8.38
Density (Mg/m³): 11.280
Relative energy among the computed polymorphs (eV/atom): 0.9564

abc: 4.475 4.475 4.475
angles: 90.00 90.00 90.00
Each line ends with the local moment (μB).
Element x y z (fractional)
Re 0.000 0.500 0.000  1.12
Re 0.000 0.000 0.500  1.03
Re 0.500 0.000 0.000  1.10
Al 0.500 0.500 0.500  -0.04
Na 0.000 0.000 0.000  0.09

No. 5
Below is a geometry-optimized Y2SiAg structure, with properties calculated at the PBE level.

E_tot (eV per atom): -5.583
Spin magnetization (μB per formula unit): 0.0
DOS at the Fermi energy (states/eV/cell): 3.66
Uncorrected formation energy (eV/atom): -0.28
Density (Mg/m³): 5.015

abc: 4.192 4.198 5.903
angles: 90.00 90.00 90.00
Element x y z (fractional)
Ag 0.000 0.000 0.374
Si 0.500 0.500 0.875
Y 0.000 0.000 0.875
Y 0.500 0.500 0.375

No. 6
Below is a geometry-optimized K2TlBr2Cl2 structure, with properties calculated at the PBE level.

E_tot (eV per atom): -2.962
Spin magnetization (μB per formula unit): 0.0
DOS at the Fermi energy (states/eV/cell): 2.22
Uncorrected formation energy (eV/atom): -1.30
Density (Mg/m³): 3.314

abc: 5.492 5.492 9.371
angles: 107.04 107.04 90.00
Element x y z (fractional)
K 0.364 0.364 0.728
K 0.636 0.636 0.272
Tl 0.000 0.000 0.000
Br 0.174 0.174 0.347
Br 0.826 0.826 0.653
Cl 0.000 0.500 0.000
Cl 0.500 0.000 0.000

No. 7
Below is a geometry-optimized RbTeHN2 structure, with properties calculated at the PBE level.

E_tot (eV per atom): -2.391
Spin magnetization (μB per formula unit): 8.0
DOS at the Fermi energy (states/eV/cell): 6.52
Density (Mg/m³): 1.524
Relative energy among the computed polymorphs (eV/atom): 0.6973

abc: 5.973 5.973 7.393
angles: 90.00 90.00 90.00
Each line ends with the local moment (μB).
Element x y z (fractional)
H 0.500 0.500 0.500  0.38
Te 0.000 0.000 0.500  0.76
Rb 0.000 0.000 0.000  0.03
N 0.000 0.500 0.000  1.74
N 0.500 0.000 0.000  1.74

No. 8
Below is a geometry-optimized V3CdH structure, with properties calculated at the PBE level.

E_tot (eV per atom): -4.092
Spin magnetization (μB per formula unit): 9.3
DOS at the Fermi energy (states/eV/cell): 13.30
Density (Mg/m³): 3.359
Relative energy among the computed polymorphs (eV/atom): 2.0961

abc: 5.087 5.087 5.087
angles: 90.00 90.00 90.00
Each line ends with the local moment (μB).
Element x y z (fractional)
H 0.500 0.500 0.500  -0.16
Cd 0.000 0.000 0.000  0.04
V 0.000 0.500 0.000  2.63
V 0.000 0.000 0.500  2.63
V 0.500 0.000 0.000  2.63

No. 9
Below is a geometry-optimized LaTiAsO2 structure, with properties calculated at the PBE level.

E_tot (eV per atom): -6.299
Spin magnetization (μB per formula unit): 1.1
DOS at the Fermi energy (states/eV/cell): 2.69
Uncorrected formation energy (eV/atom): -0.82
Density (Mg/m³): 3.113

abc: 4.129 9.188 4.129
angles: 90.00 90.00 90.00
Each line ends with the local moment (μB).
Element x y z (fractional)
As 0.500 0.500 0.500  -0.14
Ti 0.000 0.500 0.000  1.09
O 0.000 0.000 0.500  -0.01
O 0.500 0.000 0.000  -0.01
La 0.000 0.000 0.000  0.00

No. 10
Below is a geometry-optimized CaDyGa structure, with properties calculated at the PBE level.

E_tot (eV per atom): -3.531
Spin magnetization (μB per formula unit): 0.0
DOS at the Fermi energy (states/eV/cell): 2.36
Density (Mg/m³): 5.335
Relative energy among the computed polymorphs (eV/atom): 0.0696

abc: 3.593 3.593 7.042
angles: 104.78 104.78 90.00
Element x y z (fractional)
Ca 0.026 0.026 0.051
Ga 0.675 0.675 0.349
Dy 0.300 0.300 0.599

No. 11
Below is a geometry-optimized MgAu2 structure, with properties calculated at the PBE level.

E_tot (eV per atom): -3.114
Spin magnetization (μB per formula unit): 0.0
DOS at the Fermi energy (states/eV/cell): 2.74
Density (Mg/m³): 12.988

abc: 7.838 7.838 3.016
angles: 90.00 90.00 120.01
Element x y z (fractional)
Au 0.000 0.699 0.500
Au 0.301 0.301 0.500
Au 0.699 0.000 0.500
Au 0.000 0.364 0.000
Au 0.636 0.636 0.000
Au 0.364 0.000 0.000
Mg 0.000 0.000 0.000
Mg 0.667 0.333 0.500
Mg 0.333 0.667 0.500

No. 12
Below is a geometry-optimized InSb2Ru structure, with properties calculated at the PBE level.

E_tot (eV per atom): -4.881
Spin magnetization (μB per formula unit): 0.0
DOS at the Fermi energy (states/eV/cell): 1.98
Uncorrected formation energy (eV/atom): 0.18
Density (Mg/m³): 7.424

abc: 4.843 5.192 5.192
angles: 51.91 90.00 90.00
Element x y z (fractional)
In 0.000 0.562 0.562
Ru 0.500 0.715 0.715
Sb 0.000 0.865 0.865
Sb 0.500 0.358 0.358

No. 13
Below is a geometry-optimized Ti5CrRh4 structure, with properties calculated at the PBE level.

E_tot (eV per atom): -8.489
Spin magnetization (μB per formula unit): 0.0
DOS at the Fermi energy (states/eV/cell): 8.23
Density (Mg/m³): 7.917

abc: 3.113 3.113 15.212
angles: 90.00 90.00 90.00
Element x y z (fractional)
Ti 0.500 0.500 0.093
Ti 0.500 0.500 0.298
Ti 0.500 0.500 0.500
Ti 0.500 0.500 0.702
Ti 0.500 0.500 0.907
Cr 0.000 0.000 0.000
Rh 0.000 0.000 0.201
Rh 0.000 0.000 0.399
Rh 0.000 0.000 0.601
Rh 0.000 0.000 0.799